A relaxed BaCaMo2O8 crystal. Source: Alexandria via LeMat-Bulk, functional PBE+U.

Cell: 6.555 6.555 6.555 Å, 106.39 106.39 115.83°
Atoms (fractional coordinates):
Ba 0.000 0.000 0.000
Ca 0.250 0.750 0.500
Mo 0.750 0.250 0.500
Mo 0.500 0.500 0.000
O 0.409 0.084 0.325
O 0.347 0.532 0.185
O 0.347 0.161 0.815
O 0.759 0.084 0.675
O 0.839 0.653 0.185
O 0.916 0.241 0.325
O 0.916 0.591 0.675
O 0.468 0.653 0.815

## Properties
The density of states at the Fermi level is 0.00 states/eV per cell. The energy is -84.39 eV for the cell shown. The symmetry is I-4m2.